1.
! Ta3InRe | the Alexandria database | PBE-GGA | relaxed; values from VASP
! Polymorph energy (0 for the lowest one) ... 0.000 eV per atom
! Total DFT energy (no corrections) ... -9.037 eV/atom
&SYSTEM
  ibrav = 0, nat = 5, ntyp = 3
/
ATOMIC_SPECIES
Re 186.21 Re.upf
In 114.82 In.upf
Ta 180.95 Ta.upf
CELL_PARAMETERS angstrom
-1.645 -2.774 -3.652
-2.646 -2.596 3.163
-3.746 3.051 -0.630
ATOMIC_POSITIONS angstrom
Re 0.000 0.000 0.000
In -4.019 -1.159 -0.560
Ta -1.323 -1.298 1.582
Ta -1.873 1.526 -0.315
Ta -0.823 -1.387 -1.826

2.
! NbPSeBr2 | the Alexandria database | PBE-GGA | relaxed; values from VASP
! Raw formation energy ... 0.74 eV per atom
! Polymorph energy (0 for the lowest one) ... 0.451 eV per atom
! Total DFT energy (no corrections) ... -3.726 eV/atom
&SYSTEM
  ibrav = 0, nat = 5, ntyp = 4
/
ATOMIC_SPECIES
P 30.97 P.upf
Nb 92.91 Nb.upf
Se 78.96 Se.upf
Br 79.90 Br.upf
CELL_PARAMETERS angstrom
4.924 0.000 0.000
0.000 4.924 0.000
0.000 0.000 5.132
ATOMIC_POSITIONS angstrom
P 0.000 0.000 0.000
Nb 2.462 2.462 2.566
Se 0.000 0.000 2.566
Br 0.000 2.462 0.000
Br 2.462 0.000 0.000

3.
! EuDyAg | the Alexandria database | PBE-GGA | relaxed; values from VASP
! Polymorph energy (0 for the lowest one) ... 0.000 eV per atom
! Total DFT energy (no corrections) ... -6.062 eV/atom
&SYSTEM
  ibrav = 0, nat = 3, ntyp = 3
/
ATOMIC_SPECIES
Eu 151.96 Eu.upf
Ag 107.87 Ag.upf
Dy 162.50 Dy.upf
CELL_PARAMETERS angstrom
3.704 0.000 0.000
0.000 3.704 0.000
-1.852 -1.852 6.523
ATOMIC_POSITIONS angstrom
Eu 0.000 0.000 0.253
Ag 1.852 1.852 2.341
Dy 0.000 0.000 3.929

4.
! Pr2Sm3PuAs6 | the Alexandria database | PBE-GGA | relaxed; values from VASP
! Total DFT energy (no corrections) ... -6.918 eV/atom
&SYSTEM
  ibrav = 0, nat = 12, ntyp = 4
/
ATOMIC_SPECIES
Pr 140.91 Pr.upf
Sm 150.36 Sm.upf
Pu 244.00 Pu.upf
As 74.92 As.upf
CELL_PARAMETERS angstrom
-0.751 -0.334 4.157
-5.861 -5.913 -1.535
8.115 -4.737 -1.074
ATOMIC_POSITIONS angstrom
Pr 0.884 -7.379 1.726
Pr 0.619 -3.605 -0.178
Sm -3.306 -3.124 1.311
Sm 3.792 -4.410 2.490
Sm -2.289 -6.574 -0.942
Pu -0.376 -0.167 2.078
As -0.207 -8.742 -0.741
As -1.254 -5.260 1.510
As 1.710 -2.242 2.288
As 5.913 -6.490 2.706
As -4.410 -4.494 -1.158
As 2.757 -5.724 0.038

5.
! MgSc2InSi | the Alexandria database | PBE-GGA | relaxed; values from VASP
! Raw formation energy ... 0.58 eV per atom
! Total DFT energy (no corrections) ... -3.904 eV/atom
&SYSTEM
  ibrav = 0, nat = 5, ntyp = 4
/
ATOMIC_SPECIES
Sc 44.96 Sc.upf
Si 28.09 Si.upf
Mg 24.30 Mg.upf
In 114.82 In.upf
CELL_PARAMETERS angstrom
-2.391 3.860 2.761
0.613 -2.636 4.215
4.701 2.350 0.786
ATOMIC_POSITIONS angstrom
Sc 2.351 1.175 0.393
Sc -1.195 1.930 1.381
Si 1.461 1.787 3.881
Mg 0.306 -1.318 2.108
In 0.000 0.000 0.000

6.
! Be2RuCl | the Alexandria database | PBE-GGA | relaxed; values from VASP
! Raw formation energy ... 0.32 eV per atom
! Polymorph energy (0 for the lowest one) ... 0.374 eV per atom
! Total DFT energy (no corrections) ... -4.321 eV/atom
&SYSTEM
  ibrav = 0, nat = 4, ntyp = 3
/
ATOMIC_SPECIES
Ru 101.07 Ru.upf
Be 9.01 Be.upf
Cl 35.45 Cl.upf
CELL_PARAMETERS angstrom
4.144 -0.035 -0.017
2.979 2.880 -0.017
-0.695 -0.277 4.822
ATOMIC_POSITIONS angstrom
Ru 4.821 1.926 3.591
Be -0.193 -0.077 4.236
Be 2.713 1.084 2.980
Cl 1.607 0.642 1.197

7.
! Na2Cu3As2 | the Alexandria database | PBE-GGA | relaxed; values from VASP
! Total DFT energy (no corrections) ... -3.620 eV/atom
&SYSTEM
  ibrav = 0, nat = 7, ntyp = 3
/
ATOMIC_SPECIES
Na 22.99 Na.upf
Cu 63.55 Cu.upf
As 74.92 As.upf
CELL_PARAMETERS angstrom
-1.689 -0.371 3.601
4.284 -3.843 -0.602
0.699 8.160 1.168
ATOMIC_POSITIONS angstrom
Na 2.174 -1.639 3.066
Na 1.121 5.585 1.101
Cu -0.844 -0.185 1.800
Cu 0.831 1.403 2.750
Cu 2.463 2.543 1.417
As 1.759 3.702 3.422
As 1.535 0.244 0.745

8.
! NbMo3W2 | the Alexandria database | PBE-GGA | relaxed; values from VASP
! Total DFT energy (no corrections) ... -11.476 eV/atom
&SYSTEM
  ibrav = 0, nat = 12, ntyp = 3
/
ATOMIC_SPECIES
Nb 92.91 Nb.upf
Mo 95.94 Mo.upf
W 183.84 W.upf
CELL_PARAMETERS angstrom
-6.417 4.791 4.149
-0.317 -3.695 3.777
3.065 4.310 -0.237
ATOMIC_POSITIONS angstrom
Nb -1.870 4.062 6.526
Nb -1.409 1.052 0.911
Mo -0.517 5.215 2.386
Mo -3.725 7.611 4.461
Mo -1.640 2.557 3.719
Mo -4.848 4.953 5.794
Mo -5.970 2.295 7.126
Mo -2.762 -0.100 5.052
W -2.674 5.104 4.080
W 0.535 2.709 2.005
W -0.605 0.011 3.358
W -3.814 2.406 5.433

9.
! YTmZnRu | the Alexandria database | PBE-GGA | relaxed; values from VASP
! Polymorph energy (0 for the lowest one) ... 0.000 eV per atom
! Total DFT energy (no corrections) ... -5.795 eV/atom
&SYSTEM
  ibrav = 0, nat = 4, ntyp = 4
/
ATOMIC_SPECIES
Y 88.91 Y.upf
Tm 168.93 Tm.upf
Zn 65.41 Zn.upf
Ru 101.07 Ru.upf
CELL_PARAMETERS angstrom
-0.849 -3.286 0.498
2.992 -0.532 1.591
-3.030 1.736 6.279
ATOMIC_POSITIONS angstrom
Y -2.658 1.523 5.508
Tm -1.019 0.584 2.112
Zn -0.745 -0.868 4.810
Ru 0.723 -1.709 1.766